# 1
PbSeNF2 (PBE-GGA, optimized geometry); uncorrected formation energy = 0.00 eV/atom
1.0
-2.3849 1.2704 -3.4965
-3.6099 -1.7938 1.8105
-0.9301 3.9672 2.0759
Pb N F Se
1 1 2 1
Cartesian
0.0000 0.0000 0.0000
-0.4651 1.9836 1.0379
-1.8050 -0.8969 0.9053
-1.1924 0.6352 -1.7482
-3.4625 1.7219 0.1950

# 2
Er4TeC2 (PBE-GGA, optimized geometry); uncorrected formation energy = -0.60 eV/atom
1.0
3.6876 0.0000 0.0000
1.8438 3.1935 0.0000
1.8438 1.0645 13.1998
Er C Te
4 2 1
Cartesian
1.8438 1.0645 2.2145
1.8438 1.0645 8.3733
5.5313 3.1935 10.9853
5.5313 3.1935 4.8265
3.6876 2.1290 9.6383
3.6876 2.1290 3.5616
0.0000 0.0000 0.0000

# 3
Pu2HfTl3Se6 (PBE-GGA, optimized geometry); uncorrected formation energy = -1.07 eV/atom
1.0
7.1621 0.0091 0.0038
-3.5714 6.2081 0.0038
-1.1931 -2.0658 7.7563
Tl Pu Se Hf
3 2 6 1
Cartesian
4.7238 0.0399 3.8820
-2.3262 4.1115 3.8820
1.1988 2.0757 3.8820
3.5758 2.0802 0.0038
0.0148 4.1369 0.0038
-0.0779 -0.1348 6.1659
0.1662 4.1475 6.2149
2.2313 0.0038 1.5490
3.5093 2.2167 6.2149
2.4754 4.2862 1.5981
-1.1118 1.9346 1.5490
0.0000 0.0000 0.0000

# 4
La6TbPm2Mg (PBE-GGA, optimized geometry); energy of formation = 8 kJ/mol of atoms
1.0
9.0210 -2.0648 -2.1428
0.9104 8.6491 -1.0185
0.9104 -1.3384 8.6054
Pm Mg La Tb
4 2 12 2
Cartesian
5.0701 5.1046 4.6412
5.7716 0.1413 0.8029
1.2611 1.8295 1.2423
9.5806 3.4164 4.2017
3.1656 2.1825 4.1796
7.6761 3.0634 1.2645
7.4516 6.2432 2.2354
3.3902 -0.9973 3.2087
4.4197 3.6265 1.3320
2.9411 3.0349 7.3931
9.3429 5.7249 -0.7141
4.8323 0.1066 6.7659
8.9302 0.1643 2.6019
1.4989 -0.4789 6.1582
7.9007 2.2111 -1.9491
6.4220 1.6195 4.1121
6.0094 5.1393 -1.3218
1.9115 5.0816 2.8422
7.6761 -2.1862 6.3230
3.1656 7.4321 -0.8790